Model a:
First-principles (PBE) data for a geometry-optimized Tb2TmSc2 structure, as listed in the Alexandria database.

Calculated values
**Crystal system**: orthorhombic
**Spin magnetization**: 0.0 μB per cell

POSCAR file:
```
Tb2TmSc2
1.0
9.074 0.000 -2.453
0.211 5.535 0.780
-2.977 1.953 6.995
Tb Sc Tm
4 4 2
direct
0.763 0.576 0.348
0.585 0.076 0.348
0.237 0.424 0.652
0.415 0.924 0.652
0.939 0.114 0.272
0.667 0.386 0.728
0.333 0.614 0.272
0.061 0.886 0.728
0.104 0.250 0.000
0.896 0.750 0.000
```

Model b:
First-principles (PBE) data for a geometry-optimized Tb2TmSc2 structure, as listed in the Alexandria database.

Calculated values
**Crystal system**: orthorhombic
**Spin magnetization**: 0.3 μB per cell

POSCAR file:
```
Tb2TmSc2
1.0
-0.583 -1.654 2.873
5.161 1.008 1.628
-4.960 6.213 2.569
Tm Tb Sc
1 2 2
direct
0.200 0.021 0.043
0.200 0.395 0.791
0.700 0.594 0.189
0.700 0.209 0.419
0.200 0.779 0.559
```

Which structure loses on stability? model a does.

Model a:
First-principles (PBE) data for a geometry-optimized Tb6Tm3Sc structure, as listed in the Alexandria database.

Calculated values
**Crystal system**: trigonal
**Spin magnetization**: 0.0 μB per cell

POSCAR file:
```
Tb6Tm3Sc
1.0
8.541 0.000 4.532
3.068 7.971 4.532
2.123 1.458 6.312
Tm Tb Sc
3 6 1
direct
0.365 0.365 0.906
0.104 0.104 0.687
0.612 0.612 0.164
0.082 0.439 0.722
0.934 0.594 0.221
0.594 0.252 0.221
0.757 0.082 0.722
0.252 0.934 0.221
0.439 0.757 0.722
0.862 0.862 0.414
```

Model b:
First-principles (PBE) data for a geometry-optimized Tb6Tm3Sc structure, as listed in the Alexandria database.

Calculated values
**Crystal system**: orthorhombic
**Spin magnetization**: 0.0 μB per cell

POSCAR file:
```
Tb6Tm3Sc
1.0
-2.431 4.319 3.561
-6.287 -7.468 4.766
9.838 2.200 4.048
Tb Tm Sc
12 6 2
direct
0.431 0.953 0.047
0.040 0.711 0.619
0.540 0.619 0.711
0.351 0.526 0.948
0.540 0.289 0.381
0.851 0.474 0.052
0.351 0.052 0.474
0.150 0.724 0.276
0.650 0.276 0.724
0.040 0.381 0.289
0.931 0.047 0.953
0.851 0.948 0.526
0.961 0.054 0.273
0.461 0.273 0.054
0.070 0.388 0.612
0.961 0.727 0.946
0.570 0.612 0.388
0.461 0.946 0.727
0.631 0.796 0.204
0.131 0.204 0.796
```

Which structure loses on stability? model a does.